A) VASP calculation (PBE) on crystalline Sr2CaAlPt at its relaxed geometry.

Lattice parameters (Å, degrees): 6.317 5.159 6.317 90.00 90.00 90.00
Fractional coordinates of all 5 atoms:
Sr (0.500, 0.000, 0.000)
Sr (0.000, 0.000, 0.500)
Pt (0.500, 0.500, 0.500)
Ca (0.000, 0.000, 0.000)
Al (0.000, 0.500, 0.000)

As for the magnetization: 0.0 μB per formula unit.

=====

B) VASP calculation (PBE) on crystalline Sr2CaAlPt at its relaxed geometry.

Lattice parameters (Å, degrees): 5.980 5.980 4.889 90.00 90.00 90.00
Fractional coordinates of all 5 atoms:
Pt (0.000, 0.000, 0.000)
Al (0.000, 0.000, 0.500)
Sr (0.000, 0.500, 0.000)
Sr (0.500, 0.000, 0.000)
Ca (0.500, 0.500, 0.500)

As for the magnetization: 0.0 μB per formula unit.

=====

Most stable: B) (next structure +1423 meV/atom)